Entry 1:
First-principles (PBE) data for Si2TePt after structural relaxation, as listed in Alexandria via LeMat-Bulk.

Values from the calculation:
Space-group type = C2/m (12)
ΔE_f (raw) = -0.102 eV per atom
Calculated density = 8.142 Mg/m³
Total magnetic moment = 0.00 μB/f.u.
Energy above the most stable polymorph in this dataset = 1 meV/atom
Final energy = -5.11 eV per atom

```
Si2TePt
1.0
3.2702 -1.8765 0.0000
3.2702 1.8765 0.0000
-2.1908 0.0000 6.2959
Si Te Pt
2 1 1
direct
0.2345 0.2345 0.1980
0.7655 0.7655 0.8020
0.0000 0.0000 0.5000
0.5000 0.5000 0.0000
```

***

Entry 2:
First-principles (PBE) data for SiTePt4 after structural relaxation, as listed in Alexandria via LeMat-Bulk.

Values from the calculation:
Space-group type = F-43m (216)
ΔE_f (raw) = 0.267 eV per atom
Calculated density = 14.232 Mg/m³
Total magnetic moment = 0.00 μB/f.u.
Final energy = -5.19 eV per atom

```
SiTePt4
1.0
0.0000 3.7938 3.7938
3.7938 0.0000 3.7938
3.7938 3.7938 0.0000
Si Te Pt
1 1 4
direct
0.0000 0.0000 0.0000
0.2500 0.2500 0.2500
0.1244 0.6252 0.6252
0.6252 0.1244 0.6252
0.6252 0.6252 0.1244
0.6252 0.6252 0.6252
```

***

Entry 3:
First-principles (PBE) data for SiTe2Pt after structural relaxation, as listed in Alexandria via LeMat-Bulk.

Values from the calculation:
Space-group type = P4mm (99)
ΔE_f (raw) = 0.123 eV per atom
Calculated density = 8.600 Mg/m³
Total magnetic moment = 0.00 μB/f.u.
Energy above the most stable polymorph in this dataset = 249 meV/atom
Final energy = -4.31 eV per atom

```
SiTe2Pt
1.0
3.5720 0.0000 0.0000
0.0000 3.5720 0.0000
0.0000 0.0000 7.2397
Si Te Pt
1 2 1
direct
0.0000 0.0000 0.0000
0.0000 0.0000 0.6294
0.5000 0.5000 0.2252
0.5000 0.5000 0.8598
```

***

Entry 4:
First-principles (PBE) data for Si2TePt after structural relaxation, as listed in Alexandria via LeMat-Bulk.

Values from the calculation:
Space-group type = I-42d (122)
ΔE_f (raw) = -0.104 eV per atom
Calculated density = 6.442 Mg/m³
Total magnetic moment = 0.00 μB/f.u.
Energy above the most stable polymorph in this dataset = 0 meV/atom
Final energy = -5.11 eV per atom

```
Si2TePt
1.0
-2.9643 2.9643 5.5571
2.9643 -2.9643 5.5571
2.9643 2.9643 -5.5571
Si Te Pt
4 2 2
direct
0.0659 0.6250 0.9409
0.3750 0.3159 0.4409
0.6841 0.1250 0.0591
0.8750 0.9341 0.5591
0.2500 0.7500 0.5000
0.5000 0.5000 0.0000
0.0000 0.0000 0.0000
0.7500 0.2500 0.5000
```

***

Entry 5:
First-principles (PBE) data for SiTe2Pt after structural relaxation, as listed in Alexandria via LeMat-Bulk.

Values from the calculation:
Space-group type = I-4m2 (119)
ΔE_f (raw) = 0.431 eV per atom
Calculated density = 8.856 Mg/m³
Total magnetic moment = 0.00 μB/f.u.
Energy above the most stable polymorph in this dataset = 558 meV/atom
Final energy = -4.01 eV per atom

```
SiTe2Pt
1.0
-1.9965 1.9965 5.6254
1.9965 -1.9965 5.6254
1.9965 1.9965 -5.6254
Si Te Pt
1 2 1
direct
0.0000 0.0000 0.0000
0.2500 0.7500 0.5000
0.5000 0.5000 0.0000
0.7500 0.2500 0.5000
```

***

Entry 6:
First-principles (PBE) data for Si4TePt after structural relaxation, as listed in Alexandria via LeMat-Bulk.

Values from the calculation:
Space-group type = F-43m (216)
ΔE_f (raw) = 0.618 eV per atom
Calculated density = 7.002 Mg/m³
Total magnetic moment = 0.00 μB/f.u.
Final energy = -4.53 eV per atom

```
Si4TePt
1.0
0.0000 3.7225 3.7225
3.7225 0.0000 3.7225
3.7225 3.7225 0.0000
Si Te Pt
4 1 1
direct
0.3761 0.3761 0.3761
0.3761 0.3761 0.8717
0.3761 0.8717 0.3761
0.8717 0.3761 0.3761
0.0000 0.0000 0.0000
0.7500 0.7500 0.7500
```

***

Entry 7:
First-principles (PBE) data for SiTe2Pt after structural relaxation, as listed in Alexandria via LeMat-Bulk.

Values from the calculation:
Space-group type = Cmm2 (35)
ΔE_f (raw) = 0.094 eV per atom
Calculated density = 8.171 Mg/m³
Total magnetic moment = 0.00 μB/f.u.
Energy above the most stable polymorph in this dataset = 220 meV/atom
Final energy = -4.34 eV per atom

```
SiTe2Pt
1.0
2.1250 -2.2449 0.0000
2.1250 2.2449 0.0000
0.0000 0.0000 10.1890
Si Te Pt
1 2 1
direct
0.0000 0.0000 0.0000
0.0000 0.0000 0.3544
0.5000 0.5000 0.7309
0.5000 0.5000 0.1269
```

***

Entry 8:
First-principles (PBE) data for Si2TePt after structural relaxation, as listed in Alexandria via LeMat-Bulk.

Values from the calculation:
Space-group type = P4/mmm (123)
ΔE_f (raw) = 0.138 eV per atom
Calculated density = 8.335 Mg/m³
Total magnetic moment = 0.00 μB/f.u.
Energy above the most stable polymorph in this dataset = 242 meV/atom
Final energy = -4.87 eV per atom

```
Si2TePt
1.0
3.1630 0.0000 0.0000
0.0000 3.1630 0.0000
0.0000 0.0000 7.5443
Si Te Pt
2 1 1
direct
0.0000 0.0000 0.1903
0.0000 0.0000 0.8097
0.5000 0.5000 0.5000
0.5000 0.5000 0.0000
```

***

Entry 9:
First-principles (PBE) data for Si2TePt after structural relaxation, as listed in Alexandria via LeMat-Bulk.

Values from the calculation:
Space-group type = I4/mmm (139)
ΔE_f (raw) = 0.423 eV per atom
Calculated density = 8.598 Mg/m³
Total magnetic moment = 0.00 μB/f.u.
Energy above the most stable polymorph in this dataset = 527 meV/atom
Final energy = -4.58 eV per atom

```
Si2TePt
1.0
-2.1975 2.1975 3.7878
2.1975 -2.1975 3.7878
2.1975 2.1975 -3.7878
Si Te Pt
2 1 1
direct
0.2500 0.7500 0.5000
0.7500 0.2500 0.5000
0.0000 0.0000 0.0000
0.5000 0.5000 0.0000
```

***

Entry 10:
First-principles (PBE) data for Th8Si3Te4Pt after structural relaxation, as listed in Alexandria via LeMat-Bulk.

Values from the calculation:
Space-group type = R-3m (166)
ΔE_f (raw) = -1.013 eV per atom
Calculated density = 9.227 Mg/m³
Total magnetic moment = 0.00 μB/f.u.
Final energy = -6.90 eV per atom

```
Th8Si3Te4Pt
1.0
4.3301 2.5000 7.3309
-4.3301 2.5000 7.3309
0.0000 -5.0000 7.3309
Th Si Te Pt
8 3 4 1
direct
0.2376 0.2376 0.2376
0.2407 0.7362 0.7362
0.2638 0.2638 0.7593
0.2638 0.7593 0.2638
0.7362 0.2407 0.7362
0.7362 0.7362 0.2407
0.7593 0.2638 0.2638
0.7624 0.7624 0.7624
0.0000 0.0000 0.5000
0.0000 0.5000 0.0000
0.5000 0.0000 0.0000
0.0000 0.0000 0.0000
0.0000 0.5000 0.5000
0.5000 0.0000 0.5000
0.5000 0.5000 0.0000
0.5000 0.5000 0.5000
```

***

Entry 11:
First-principles (PBE) data for Tm8Si3Te4Pt after structural relaxation, as listed in Alexandria via LeMat-Bulk.

Values from the calculation:
Space-group type = R-3m (166)
ΔE_f (raw) = -1.080 eV per atom
Calculated density = 8.450 Mg/m³
Total magnetic moment = 0.00 μB/f.u.
Final energy = -5.50 eV per atom

```
Tm8Si3Te4Pt
1.0
4.1609 2.4023 7.0168
-4.1609 2.4023 7.0168
0.0000 -4.8045 7.0168
Tm Si Te Pt
8 3 4 1
direct
0.2365 0.7393 0.7393
0.2393 0.2393 0.2393
0.2607 0.2607 0.7635
0.2607 0.7635 0.2607
0.7393 0.2365 0.7393
0.7393 0.7393 0.2365
0.7607 0.7607 0.7607
0.7635 0.2607 0.2607
0.0000 0.0000 0.5000
0.0000 0.5000 0.0000
0.5000 0.0000 0.0000
0.0000 0.0000 0.0000
0.0000 0.5000 0.5000
0.5000 0.0000 0.5000
0.5000 0.5000 0.0000
0.5000 0.5000 0.5000
```

***

Entry 12:
First-principles (PBE) data for Th2Si3Pt3 after structural relaxation, as listed in Alexandria via LeMat-Bulk.

Values from the calculation:
Space-group type = P4/mmm (123)
ΔE_f (raw) = 0.463 eV per atom
Calculated density = 10.551 Mg/m³
Total magnetic moment = 0.00 μB/f.u.
Final energy = -5.69 eV per atom

```
Th2Si3Pt3
1.0
2.9434 0.0000 0.0000
0.0000 2.9434 0.0000
0.0000 0.0000 20.5925
Th Si Pt
2 3 3
direct
0.0000 0.0000 0.2466
0.0000 0.0000 0.7534
0.0000 0.0000 0.0000
0.0000 0.0000 0.3872
0.0000 0.0000 0.6128
0.0000 0.0000 0.1125
0.0000 0.0000 0.5000
0.0000 0.0000 0.8875
```

***

Entry 13:
First-principles (PBE) data for Th2Si7Pt12 after structural relaxation, as listed in Alexandria via LeMat-Bulk.

Values from the calculation:
Space-group type = P-6 (174)
ΔE_f (raw) = -0.891 eV per atom
Calculated density = 14.293 Mg/m³
Total magnetic moment = 0.00 μB/f.u.
Final energy = -6.86 eV per atom

```
Th2Si7Pt12
1.0
10.0187 0.0000 0.0000
-5.0094 8.6765 0.0000
0.0000 0.0000 4.0117
Th Si Pt
2 7 12
direct
0.0000 0.0000 0.0000
0.3333 0.6667 0.5000
0.0651 0.4407 0.0000
0.2699 0.2212 0.5000
0.3756 0.9349 0.0000
0.5593 0.6244 0.0000
0.6667 0.3333 0.5000
0.7788 0.0486 0.5000
0.9514 0.7301 0.5000
0.0483 0.2561 0.5000
0.1221 0.7107 0.0000
0.2079 0.9517 0.5000
0.2893 0.4114 0.0000
0.4061 0.1916 0.0000
0.5209 0.4568 0.5000
0.5432 0.0642 0.5000
0.5886 0.8779 0.0000
0.7439 0.7921 0.5000
0.7855 0.5939 0.0000
0.8084 0.2145 0.0000
0.9358 0.4791 0.5000
```

***

Entry 14:
First-principles (PBE) data for ThSi2Pt6 after structural relaxation, as listed in Alexandria via LeMat-Bulk.

Values from the calculation:
Space-group type = P6/mmm (191)
ΔE_f (raw) = -0.849 eV per atom
Calculated density = 13.960 Mg/m³
Total magnetic moment = 0.00 μB/f.u.
Final energy = -6.91 eV per atom

```
ThSi2Pt6
1.0
5.5597 0.0000 0.0000
-2.7798 4.8148 0.0000
0.0000 0.0000 6.4818
Th Si Pt
1 2 6
direct
0.0000 0.0000 0.0000
0.3333 0.6667 0.5000
0.6667 0.3333 0.5000
0.0000 0.5000 0.2221
0.0000 0.5000 0.7779
0.5000 0.0000 0.2221
0.5000 0.0000 0.7779
0.5000 0.5000 0.2221
0.5000 0.5000 0.7779
```

***

Entry 15:
First-principles (PBE) data for ThSi3Pt3 after structural relaxation, as listed in Alexandria via LeMat-Bulk.

Values from the calculation:
Space-group type = Pm-3n (223)
ΔE_f (raw) = -0.642 eV per atom
Calculated density = 10.485 Mg/m³
Total magnetic moment = 0.00 μB/f.u.
Final energy = -6.62 eV per atom

```
ThSi3Pt3
1.0
6.5851 0.0000 0.0000
0.0000 6.5851 0.0000
0.0000 0.0000 6.5851
Th Si Pt
2 6 6
direct
0.0000 0.0000 0.0000
0.5000 0.5000 0.5000
0.0000 0.2500 0.5000
0.0000 0.7500 0.5000
0.2500 0.5000 0.0000
0.5000 0.0000 0.2500
0.5000 0.0000 0.7500
0.7500 0.5000 0.0000
0.0000 0.5000 0.2500
0.0000 0.5000 0.7500
0.2500 0.0000 0.5000
0.5000 0.2500 0.0000
0.5000 0.7500 0.0000
0.7500 0.0000 0.5000
```

***

Entry 16:
First-principles (PBE) data for Th2SiPt3 after structural relaxation, as listed in Alexandria via LeMat-Bulk.

Values from the calculation:
Space-group type = Pmm2 (25)
ΔE_f (raw) = -1.174 eV per atom
Calculated density = 13.856 Mg/m³
Total magnetic moment = 0.00 μB/f.u.
Final energy = -7.57 eV per atom

```
Th2SiPt3
1.0
3.7445 0.0000 0.0000
0.0000 4.3416 0.0000
0.0000 0.0000 7.9422
Th Si Pt
2 1 3
direct
0.0000 0.0000 0.0000
0.0000 0.5000 0.4869
0.5000 0.5000 0.8146
0.5000 0.0000 0.3390
0.5000 0.0000 0.6836
0.5000 0.5000 0.1225
```

***

Entry 17:
First-principles (PBE) data for Th3Si4Pt2 after structural relaxation, as listed in Alexandria via LeMat-Bulk.

Values from the calculation:
Space-group type = C2/m (12)
ΔE_f (raw) = -1.075 eV per atom
Calculated density = 10.466 Mg/m³
Total magnetic moment = 0.00 μB/f.u.
Final energy = -7.30 eV per atom

```
Th3Si4Pt2
1.0
5.5105 -2.1158 0.0000
5.5105 2.1158 0.0000
-1.5013 0.0000 8.1557
Th Si Pt
3 4 2
direct
0.0000 0.0000 0.0000
0.3352 0.3352 0.3308
0.6648 0.6648 0.6692
0.0549 0.0549 0.3893
0.2766 0.2766 0.9435
0.7234 0.7234 0.0565
0.9451 0.9451 0.6107
0.3880 0.3880 0.7177
0.6120 0.6120 0.2823
```

***

Entry 18:
First-principles (PBE) data for Th2Si6Pt21 after structural relaxation, as listed in Alexandria via LeMat-Bulk.

Values from the calculation:
Space-group type = Fm-3m (225)
ΔE_f (raw) = -0.703 eV per atom
Calculated density = 16.518 Mg/m³
Total magnetic moment = 0.00 μB/f.u.
Final energy = -6.71 eV per atom

```
Th2Si6Pt21
1.0
0.0000 6.1947 6.1947
6.1947 0.0000 6.1947
6.1947 6.1947 0.0000
Th Si Pt
2 6 21
direct
0.2500 0.2500 0.2500
0.7500 0.7500 0.7500
0.2370 0.2370 0.7630
0.2370 0.7630 0.2370
0.2370 0.7630 0.7630
0.7630 0.2370 0.2370
0.7630 0.2370 0.7630
0.7630 0.7630 0.2370
0.1145 0.1145 0.1145
0.1145 0.1145 0.6565
0.1145 0.6565 0.1145
0.1538 0.5000 0.5000
0.1538 0.5000 0.8462
0.1538 0.8462 0.5000
0.3435 0.8855 0.8855
0.5000 0.1538 0.5000
0.5000 0.1538 0.8462
0.5000 0.5000 0.1538
0.5000 0.5000 0.5000
0.5000 0.5000 0.8462
0.5000 0.8462 0.1538
0.5000 0.8462 0.5000
0.6565 0.1145 0.1145
0.8462 0.1538 0.5000
0.8462 0.5000 0.1538
0.8462 0.5000 0.5000
0.8855 0.3435 0.8855
0.8855 0.8855 0.3435
0.8855 0.8855 0.8855
```

***

Entry 19:
First-principles (PBE) data for Th3Si4Pt7 after structural relaxation, as listed in Alexandria via LeMat-Bulk.

Values from the calculation:
Space-group type = C2/m (12)
ΔE_f (raw) = -1.057 eV per atom
Calculated density = 14.066 Mg/m³
Total magnetic moment = 0.00 μB/f.u.
Final energy = -7.22 eV per atom

```
Th3Si4Pt7
1.0
7.9783 -2.0659 0.0000
7.9783 2.0659 0.0000
-5.7156 0.0000 7.7856
Th Si Pt
3 4 7
direct
0.0000 0.0000 0.0000
0.3255 0.3255 0.3285
0.6745 0.6745 0.6715
0.1094 0.1094 0.8289
0.3362 0.3362 0.7304
0.6638 0.6638 0.2696
0.8906 0.8906 0.1711
0.0000 0.0000 0.5000
0.1690 0.1690 0.4184
0.3052 0.3052 0.9605
0.4911 0.4911 0.7259
0.5089 0.5089 0.2741
0.6948 0.6948 0.0395
0.8310 0.8310 0.5816
```

***

Entry 20:
First-principles (PBE) data for Th2Si3Pt2 after structural relaxation, as listed in Alexandria via LeMat-Bulk.

Values from the calculation:
Space-group type = Cmcm (63)
ΔE_f (raw) = -0.967 eV per atom
Calculated density = 11.354 Mg/m³
Total magnetic moment = 0.00 μB/f.u.
Final energy = -7.14 eV per atom

```
Th2Si3Pt2
1.0
2.1715 -9.1498 0.0000
2.1715 9.1498 0.0000
0.0000 0.0000 6.9084
Th Si Pt
4 6 4
direct
0.0548 0.9452 0.7500
0.1553 0.8447 0.2500
0.8447 0.1553 0.7500
0.9452 0.0548 0.2500
0.2229 0.7771 0.7500
0.4421 0.5579 0.5732
0.4421 0.5579 0.9268
0.5579 0.4421 0.0732
0.5579 0.4421 0.4268
0.7771 0.2229 0.2500
0.3146 0.6854 0.0493
0.3146 0.6854 0.4507
0.6854 0.3146 0.5493
0.6854 0.3146 0.9507
```

***

Entry 21:
First-principles (PBE) data for ThSiPt2 after structural relaxation, as listed in Alexandria via LeMat-Bulk.

Values from the calculation:
Space-group type = Pnma (62)
ΔE_f (raw) = -1.099 eV per atom
Calculated density = 14.131 Mg/m³
Total magnetic moment = 0.00 μB/f.u.
Final energy = -7.33 eV per atom

```
ThSiPt2
1.0
7.7599 0.0000 0.0000
0.0000 6.9101 0.0000
0.0000 0.0000 5.7002
Th Si Pt
4 4 8
direct
0.0392 0.2500 0.1460
0.4608 0.7500 0.6460
0.5392 0.2500 0.3540
0.9608 0.7500 0.8540
0.1172 0.7500 0.3456
0.3828 0.2500 0.8456
0.6172 0.7500 0.1544
0.8828 0.2500 0.6544
0.1802 0.0469 0.5922
0.1802 0.4531 0.5922
0.3198 0.5469 0.0922
0.3198 0.9531 0.0922
0.6802 0.0469 0.9078
0.6802 0.4531 0.9078
0.8198 0.5469 0.4078
0.8198 0.9531 0.4078
```